Record 1
Computed, not measured: an optimized crystal structure of NdErTm at the PBE level of DFT.

- Energy of formation: 77 meV/atom
- Raw total energy: -4.52 eV/atom
- Distance to the lowest polymorph of the same formula: 0.065 eV/atom

```
data_NdErTm
_chemical_formula_sum 'Nd1 Er1 Tm1'
_cell_length_a 5.6470
_cell_length_b 5.6470
_cell_length_c 3.4598
_cell_angle_alpha 90.00
_cell_angle_beta 90.00
_cell_angle_gamma 120.00
_symmetry_space_group_name_H-M 'P -6 m 2'
_symmetry_Int_Tables_number 187
_symmetry_space_group_name_Hall 'P -6 2'
loop_
_atom_site_label
_atom_site_type_symbol
_atom_site_fract_x
_atom_site_fract_y
_atom_site_fract_z
Nd1 Nd 0.0000 0.0000 0.0000
Er1 Er 0.6667 0.3333 0.5000
Tm1 Tm 0.3333 0.6667 0.5000
```

---

Record 2
Computed, not measured: an optimized crystal structure of NdEr12Tm2 at the PBE level of DFT.

- Energy of formation: 116 meV/atom
- Raw total energy: -4.45 eV/atom

```
data_NdEr12Tm2
_chemical_formula_sum 'Nd4 Er48 Tm8'
_cell_length_a 7.064
_cell_length_b 11.016
_cell_length_c 24.093
_cell_angle_alpha 90.00
_cell_angle_beta 94.16
_cell_angle_gamma 90.00
_symmetry_space_group_name_H-M 'C 1 2/m 1'
_symmetry_Int_Tables_number 12
_symmetry_space_group_name_Hall '-C 2y'
loop_
_atom_site_label
_atom_site_type_symbol
_atom_site_fract_x
_atom_site_fract_y
_atom_site_fract_z
Nd1 Nd 0.250 0.000 0.001
Er1 Er 0.019 0.250 0.076
Er2 Er 0.112 0.251 0.445
Er3 Er 0.142 0.000 0.576
Er4 Er 0.144 0.500 0.574
Er5 Er 0.167 0.252 0.669
Er6 Er 0.199 0.248 0.797
Er7 Er 0.214 0.500 0.859
Er8 Er 0.215 0.000 0.862
Tm1 Tm 0.067 0.000 0.272
Tm2 Tm 0.070 0.500 0.272
```

---

Record 3
Computed, not measured: an optimized crystal structure of NdEr2Tm at the PBE level of DFT.

- Energy of formation: 26 meV/atom
- Raw total energy: -4.57 eV/atom
- Distance to the lowest polymorph of the same formula: 0.018 eV/atom

```
data_NdEr2Tm
_chemical_formula_sum 'Nd1 Er2 Tm1'
_cell_length_a 5.009
_cell_length_b 5.009
_cell_length_c 5.020
_cell_angle_alpha 90.00
_cell_angle_beta 90.00
_cell_angle_gamma 90.00
_symmetry_space_group_name_H-M 'P 4/m m m'
_symmetry_Int_Tables_number 123
_symmetry_space_group_name_Hall '-P 4 2'
loop_
_atom_site_label
_atom_site_type_symbol
_atom_site_fract_x
_atom_site_fract_y
_atom_site_fract_z
Nd1 Nd 0.000 0.000 0.000
Er1 Er 0.000 0.500 0.500
Tm1 Tm 0.500 0.500 0.000
```

---

Record 4
Computed, not measured: an optimized crystal structure of Nd6ErTm12 at the PBE level of DFT.

- Energy of formation: 222 meV/atom
- Raw total energy: -4.35 eV/atom
- Distance to the lowest polymorph of the same formula: 0.095 eV/atom

```
data_Nd6ErTm12
_chemical_formula_sum 'Nd18 Er3 Tm36'
_cell_length_a 13.1623
_cell_length_b 13.1623
_cell_length_c 12.5473
_cell_angle_alpha 90.00
_cell_angle_beta 90.00
_cell_angle_gamma 120.00
_symmetry_space_group_name_H-M 'R -3 m'
_symmetry_Int_Tables_number 166
_symmetry_space_group_name_Hall '-R 3 2"'
loop_
_atom_site_label
_atom_site_type_symbol
_atom_site_fract_x
_atom_site_fract_y
_atom_site_fract_z
Nd1 Nd 0.0385 0.5193 0.1174
Er1 Er 0.0000 0.0000 0.5000
Tm1 Tm 0.0000 0.2558 0.0000
Tm2 Tm 0.0912 0.1824 0.7634
```

---

Record 5
Computed, not measured: an optimized crystal structure of Nd6ErTm12 at the PBE level of DFT.

- Energy of formation: 128 meV/atom
- Raw total energy: -4.44 eV/atom
- Distance to the lowest polymorph of the same formula: 0.000 eV/atom

```
data_Nd6ErTm12
_chemical_formula_sum 'Nd18 Er3 Tm36'
_cell_length_a 11.0256
_cell_length_b 11.0256
_cell_length_c 17.4104
_cell_angle_alpha 90.00
_cell_angle_beta 90.00
_cell_angle_gamma 120.00
_symmetry_space_group_name_H-M 'R -3 m'
_symmetry_Int_Tables_number 166
_symmetry_space_group_name_Hall '-R 3 2"'
loop_
_atom_site_label
_atom_site_type_symbol
_atom_site_fract_x
_atom_site_fract_y
_atom_site_fract_z
Nd1 Nd 0.0682 0.5341 0.2675
Er1 Er 0.0000 0.0000 0.5000
Tm1 Tm 0.1020 0.5510 0.9137
Tm2 Tm 0.1059 0.2118 0.9068
```

---

Record 6
Computed, not measured: an optimized crystal structure of Nd4ErTm6 at the PBE level of DFT.

- Energy of formation: 169 meV/atom
- Raw total energy: -4.42 eV/atom
- Distance to the lowest polymorph of the same formula: 0.000 eV/atom

```
data_Nd4ErTm6
_chemical_formula_sum 'Nd4 Er1 Tm6'
_cell_length_a 10.9011
_cell_length_b 10.9011
_cell_length_c 3.5225
_cell_angle_alpha 90.00
_cell_angle_beta 90.00
_cell_angle_gamma 120.00
_symmetry_space_group_name_H-M 'P -6 m 2'
_symmetry_Int_Tables_number 187
_symmetry_space_group_name_Hall 'P -6 2'
loop_
_atom_site_label
_atom_site_type_symbol
_atom_site_fract_x
_atom_site_fract_y
_atom_site_fract_z
Nd1 Nd 0.0000 0.0000 0.0000
Nd2 Nd 0.0564 0.5282 0.5000
Er1 Er 0.6667 0.3333 0.0000
Tm1 Tm 0.1631 0.3262 0.0000
Tm2 Tm 0.3292 0.1646 0.5000
```

---

| no. | V (A^3/atom) |
| --- | --- |
| 1 | 31.849 |
| 2 | 31.165 |
| 3 | 31.483 |
| 4 | 33.027 |
| 5 | 32.157 |
| 6 | 32.955 |